No. 1
! ZrAlSbTe2 | Alexandria via LeMat-Bulk | SCAN | single point on PBEsol structure; values from VASP
! calculated total energy = -29.887 eV per atom
! ΔE_f (raw) = 0.1554 eV/atom
&SYSTEM
  ibrav = 0, nat = 5, ntyp = 4
/
ATOMIC_SPECIES
Zr 91.22 Zr.upf
Al 26.98 Al.upf
Sb 121.76 Sb.upf
Te 127.60 Te.upf
ATOMIC_POSITIONS crystal
Zr 0.0000 0.0000 0.0000
Al 0.5000 0.5000 0.5000
Sb 0.0000 0.0000 0.5000
Te 0.0000 0.5000 0.0000
Te 0.5000 0.0000 0.0000
CELL_PARAMETERS angstrom
5.5102 0.0000 0.0000
0.0000 5.5102 0.0000
0.0000 0.0000 5.5268

No. 2
! AlTlSb2 | Alexandria via LeMat-Bulk | SCAN | single point on PBEsol structure; values from VASP
! calculated total energy = -38.713 eV per atom
! ΔE_f (raw) = -0.0549 eV/atom
&SYSTEM
  ibrav = 0, nat = 8, ntyp = 3
/
ATOMIC_SPECIES
Al 26.98 Al.upf
Tl 204.38 Tl.upf
Sb 121.76 Sb.upf
ATOMIC_POSITIONS crystal
Al 0.0000 0.0000 0.0000
Al 0.7500 0.2500 0.5000
Tl 0.2500 0.7500 0.5000
Tl 0.5000 0.5000 0.0000
Sb 0.0988 0.6250 0.9738
Sb 0.3750 0.3488 0.4738
Sb 0.6512 0.1250 0.0262
Sb 0.8750 0.9012 0.5262
CELL_PARAMETERS angstrom
-3.1956 3.1956 6.3826
3.1956 -3.1956 6.3826
3.1956 3.1956 -6.3826

No. 3
! AlTlSb2 | Alexandria via LeMat-Bulk | SCAN | single point on PBEsol structure; values from VASP
! calculated total energy = -38.523 eV per atom
! ΔE_f (raw) = 0.1351 eV/atom
&SYSTEM
  ibrav = 0, nat = 4, ntyp = 3
/
ATOMIC_SPECIES
Al 26.98 Al.upf
Tl 204.38 Tl.upf
Sb 121.76 Sb.upf
ATOMIC_POSITIONS crystal
Al 0.0000 0.0000 0.0000
Tl 0.0000 0.0000 0.5000
Sb 0.5000 0.5000 0.2050
Sb 0.5000 0.5000 0.7950
CELL_PARAMETERS angstrom
3.7818 0.0000 0.0000
0.0000 3.7818 0.0000
0.0000 0.0000 7.0764

No. 4
! AlTl3Sb | Alexandria via LeMat-Bulk | SCAN | single point on PBEsol structure; values from VASP
! calculated total energy = -52.101 eV per atom
! ΔE_f (raw) = 0.3160 eV/atom
&SYSTEM
  ibrav = 0, nat = 5, ntyp = 3
/
ATOMIC_SPECIES
Al 26.98 Al.upf
Tl 204.38 Tl.upf
Sb 121.76 Sb.upf
ATOMIC_POSITIONS crystal
Al 0.0000 0.0000 0.0000
Tl 0.0000 0.0000 0.5000
Tl 0.0000 0.5000 0.0000
Tl 0.5000 0.0000 0.0000
Sb 0.5000 0.5000 0.5000
CELL_PARAMETERS angstrom
5.2905 0.0000 0.0000
0.0000 5.2905 0.0000
0.0000 0.0000 5.2905